A plane-wave DFT calculation with GGA+U was carried out for a geometry-optimized Ag3MoF7 structure.

The structure in POSCAR format:
```
Ag3MoF7
1.0
5.0254 0.0456 2.5045
-1.1109 4.9013 2.5045
-0.3313 -0.4187 6.5937
F Ag Mo
7 3 1
Cartesian
0.5677 0.7175 1.6157 F
0.2658 4.3639 8.2970 F
3.0943 0.3613 3.4615 F
4.1859 1.2619 8.2970 F
3.0781 3.8899 9.5327 F
2.4524 3.0992 4.8782 F
-0.3598 3.0945 3.4615 F
3.3855 1.0248 5.8606 Ag
1.6117 2.0368 9.0503 Ag
0.2190 3.5304 5.8606 Ag
3.7365 4.7220 4.9818 Mo
```

Computed properties:
Its density of states at the Fermi level is 0.0 states/eV/cell. The theoretical density is 5.30 g/cm³. Its space-group type is Cm, No. 8. The energy is -4.323 eV per atom. As for the crystal system: monoclinic. The calculation puts the magnetization at 1.85 μB/cell.